(P)
{"formula": "MnNbNi3", "functional": "PBE", "state": "relaxed", "lattice": [[-2.732, 0.508, -4.020], [-2.050, -1.506, 4.172], [-0.954, 4.757, 1.249]], "species": ["Ni", "Ni", "Ni", "Nb", "Mn"], "fractional_positions": [[0.500, 0.000, 0.000], [0.500, 0.500, 0.000], [0.000, 0.500, 0.000], [0.000, 0.000, 0.000], [0.000, 0.000, 0.500]], "space_group": "P6/mmm", "dos_at_fermi_per_ev_atom": 1.780}

(Q)
{"formula": "MnNbNi3", "functional": "PBE", "state": "relaxed", "lattice": [[4.206, 0.000, 0.000], [0.000, 4.206, 0.000], [0.000, 0.000, 4.206]], "species": ["Ni", "Ni", "Ni", "Mn", "Nb"], "fractional_positions": [[0.500, 0.000, 0.000], [0.000, 0.500, 0.000], [0.000, 0.000, 0.500], [0.000, 0.000, 0.000], [0.500, 0.500, 0.500]], "space_group": "Pm-3m", "dos_at_fermi_per_ev_atom": 1.897}

Going by the computed energies, the most stable comes first: (Q), (P).

(P)
{"formula": "Mn2Nb2Ni15", "functional": "PBE", "state": "relaxed", "lattice": [[5.969, -0.519, 1.459], [1.021, 5.904, 1.459], [-0.674, -0.519, 6.108]], "species": ["Ni", "Ni", "Ni", "Ni", "Ni", "Ni", "Ni", "Ni", "Ni", "Ni", "Ni", "Ni", "Ni", "Ni", "Ni", "Mn", "Mn", "Nb", "Nb"], "fractional_positions": [[0.000, 0.500, 0.000], [0.000, 0.000, 0.500], [0.000, 0.688, 0.312], [0.164, 0.652, 0.652], [0.348, 0.836, 0.348], [0.688, 0.000, 0.312], [0.312, 0.688, 0.000], [0.348, 0.348, 0.836], [0.652, 0.652, 0.164], [0.500, 0.000, 0.000], [0.312, 0.000, 0.688], [0.000, 0.312, 0.688], [0.836, 0.348, 0.348], [0.688, 0.312, 0.000], [0.652, 0.164, 0.652], [0.105, 0.105, 0.105], [0.895, 0.895, 0.895], [0.657, 0.657, 0.657], [0.343, 0.343, 0.343]], "space_group": "R-3m", "dos_at_fermi_per_ev_atom": 1.069}

(Q)
{"formula": "Mn2Nb2Ni15", "functional": "PBE", "state": "relaxed", "lattice": [[6.260, 0.032, 0.028], [0.844, 6.203, 0.028], [0.844, 0.740, 6.159]], "species": ["Ni", "Ni", "Ni", "Ni", "Ni", "Ni", "Ni", "Ni", "Ni", "Ni", "Ni", "Ni", "Ni", "Ni", "Ni", "Mn", "Mn", "Nb", "Nb"], "fractional_positions": [[0.313, 0.687, 0.000], [0.500, 0.000, 0.000], [0.687, 0.000, 0.313], [0.652, 0.167, 0.652], [0.167, 0.652, 0.652], [0.348, 0.833, 0.348], [0.652, 0.652, 0.167], [0.000, 0.500, 0.000], [0.348, 0.348, 0.833], [0.687, 0.313, 0.000], [0.000, 0.687, 0.313], [0.000, 0.000, 0.500], [0.313, 0.000, 0.687], [0.833, 0.348, 0.348], [0.000, 0.313, 0.687], [0.358, 0.358, 0.358], [0.642, 0.642, 0.642], [0.106, 0.106, 0.106], [0.894, 0.894, 0.894]], "space_group": "R-3m", "dos_at_fermi_per_ev_atom": 1.272}

Going by the computed energies, the most stable comes first: (P), (Q).